# SrCa10Ag3 PBE optimized geometry
# - total magnetic moment (μB/f.u.) = 0.00
# - calculated density (g/cm3) = 2.574
# - formation energy from the elements (eV/f.u.) = -1.801
data_SrCa10Ag3
_symmetry_space_group_name_H-M 'F m -3 m'
_symmetry_Int_Tables_number 225
_symmetry_space_group_name_Hall '-F 4 2 3'
_cell_length_a 16.122
_cell_length_b 16.122
_cell_length_c 16.122
_cell_angle_alpha 90.00
_cell_angle_beta 90.00
_cell_angle_gamma 90.00
loop_
_atom_site_label
_atom_site_type_symbol
_atom_site_fract_x
_atom_site_fract_y
_atom_site_fract_z
Sr1 Sr 0.250 0.250 0.250
Ca1 Ca 0.000 0.169 0.169
Ca2 Ca 0.115 0.115 0.385
Ag1 Ag 0.000 0.000 0.272

---

# SrCa2Ag PBE optimized geometry
# - energy relative to the lowest polymorph listed for this composition (eV per formula unit) = 0.18
# - total magnetic moment (μB/f.u.) = 0.00
# - calculated density (g/cm3) = 3.161
# - formation energy from the elements (eV/f.u.) = -0.559
data_SrCa2Ag
_symmetry_space_group_name_H-M 'P 4/m m m'
_symmetry_Int_Tables_number 123
_symmetry_space_group_name_Hall '-P 4 2'
_cell_length_a 3.861
_cell_length_b 3.861
_cell_length_c 9.716
_cell_angle_alpha 90.00
_cell_angle_beta 90.00
_cell_angle_gamma 90.00
loop_
_atom_site_label
_atom_site_type_symbol
_atom_site_fract_x
_atom_site_fract_y
_atom_site_fract_z
Sr1 Sr 0.000 0.000 0.000
Ca1 Ca 0.500 0.500 0.318
Ag1 Ag 0.000 0.000 0.500

---

# Sr2CaAg PBE optimized geometry
# - energy relative to the lowest polymorph listed for this composition (eV per formula unit) = 0.49
# - total magnetic moment (μB/f.u.) = 0.00
# - calculated density (g/cm3) = 3.103
# - formation energy from the elements (eV/f.u.) = -0.205
data_Sr2CaAg
_symmetry_space_group_name_H-M 'R -3 m'
_symmetry_Int_Tables_number 166
_symmetry_space_group_name_Hall '-R 3 2"'
_cell_length_a 4.3228
_cell_length_b 4.3228
_cell_length_c 32.0595
_cell_angle_alpha 90.00
_cell_angle_beta 90.00
_cell_angle_gamma 120.00
loop_
_atom_site_label
_atom_site_type_symbol
_atom_site_fract_x
_atom_site_fract_y
_atom_site_fract_z
Sr1 Sr 0.0000 0.0000 0.2292
Ca1 Ca 0.0000 0.0000 0.0000
Ag1 Ag 0.0000 0.0000 0.5000

---

# SrCa2Ag PBE optimized geometry
# - energy relative to the lowest polymorph listed for this composition (eV per formula unit) = 0.18
# - total magnetic moment (μB/f.u.) = 0.00
# - calculated density (g/cm3) = 3.148
# - formation energy from the elements (eV/f.u.) = -0.559
data_SrCa2Ag
_symmetry_space_group_name_H-M 'P 4 m m'
_symmetry_Int_Tables_number 99
_cell_length_a 3.880
_cell_length_b 3.880
_cell_length_c 9.662
_cell_angle_alpha 90.00
_cell_angle_beta 90.00
_cell_angle_gamma 90.00
loop_
_symmetry_equiv_pos_as_xyz
'x,y,z'
'-y,x,z'
'-x,-y,z'
'y,-x,z'
'-x,y,z'
'y,x,z'
'x,-y,z'
'-y,-x,z'
loop_
_atom_site_label
_atom_site_type_symbol
_atom_site_fract_x
_atom_site_fract_y
_atom_site_fract_z
Sr1 Sr 0.000 0.000 0.000
Ca1 Ca 0.000 0.000 0.385
Ca2 Ca 0.500 0.500 0.677
Ag1 Ag 0.500 0.500 0.211

---

# SrCaAg3 PBE optimized geometry
# - energy relative to the lowest polymorph listed for this composition (eV per formula unit) = 2.49
# - total magnetic moment (μB/f.u.) = 0.00
# - calculated density (g/cm3) = 4.577
# - formation energy from the elements (eV/f.u.) = 1.017
data_SrCaAg3
_symmetry_space_group_name_H-M 'P m -3 m'
_symmetry_Int_Tables_number 221
_symmetry_space_group_name_Hall '-P 4 2 3'
_cell_length_a 5.471
_cell_length_b 5.471
_cell_length_c 5.471
_cell_angle_alpha 90.00
_cell_angle_beta 90.00
_cell_angle_gamma 90.00
loop_
_atom_site_label
_atom_site_type_symbol
_atom_site_fract_x
_atom_site_fract_y
_atom_site_fract_z
Sr1 Sr 0.000 0.000 0.000
Ca1 Ca 0.500 0.500 0.500
Ag1 Ag 0.000 0.500 0.500

---

# Sr4CaAg4 PBE optimized geometry
# - total magnetic moment (μB/f.u.) = 0.00
# - calculated density (g/cm3) = 4.279
# - formation energy from the elements (eV/f.u.) = -1.680
data_Sr4CaAg4
_symmetry_space_group_name_H-M 'P 42/n'
_symmetry_Int_Tables_number 86
_cell_length_a 9.901
_cell_length_b 9.901
_cell_length_c 6.508
_cell_angle_alpha 90.00
_cell_angle_beta 90.00
_cell_angle_gamma 90.00
loop_
_symmetry_equiv_pos_as_xyz
'x,y,z'
'-x,-y,-z'
'-y,x+1/2,z+1/2'
'y,-x+1/2,-z+1/2'
'-x+1/2,-y+1/2,z'
'x+1/2,y+1/2,-z'
'y+1/2,-x,z+1/2'
'-y+1/2,x,-z+1/2'
loop_
_atom_site_label
_atom_site_type_symbol
_atom_site_fract_x
_atom_site_fract_y
_atom_site_fract_z
Sr1 Sr 0.058 0.670 0.139
Ca1 Ca 0.250 0.250 0.250
Ag1 Ag 0.010 0.619 0.626

---

# SrCa2Ag PBE optimized geometry
# - energy relative to the lowest polymorph listed for this composition (eV per formula unit) = 0.41
# - total magnetic moment (μB/f.u.) = 0.00
# - calculated density (g/cm3) = 2.890
# - formation energy from the elements (eV/f.u.) = -0.328
data_SrCa2Ag
_symmetry_space_group_name_H-M 'R 3 m'
_symmetry_Int_Tables_number 160
_symmetry_space_group_name_Hall 'R 3 -2"'
_cell_length_a 4.1734
_cell_length_b 4.1734
_cell_length_c 31.5012
_cell_angle_alpha 90.00
_cell_angle_beta 90.00
_cell_angle_gamma 120.00
loop_
_atom_site_label
_atom_site_type_symbol
_atom_site_fract_x
_atom_site_fract_y
_atom_site_fract_z
Sr1 Sr 0.0000 0.0000 0.0000
Ca1 Ca 0.0000 0.0000 0.5589
Ca2 Ca 0.0000 0.0000 0.7740
Ag1 Ag 0.0000 0.0000 0.1661

---

# Sr2CaAg PBE optimized geometry
# - energy relative to the lowest polymorph listed for this composition (eV per formula unit) = 0.85
# - total magnetic moment (μB/f.u.) = 0.00
# - calculated density (g/cm3) = 3.475
# - formation energy from the elements (eV/f.u.) = 0.156
data_Sr2CaAg
_symmetry_space_group_name_H-M 'I -4 m 2'
_symmetry_Int_Tables_number 119
_symmetry_space_group_name_Hall 'I -4 -2'
_cell_length_a 5.115
_cell_length_b 5.115
_cell_length_c 11.804
_cell_angle_alpha 90.00
_cell_angle_beta 90.00
_cell_angle_gamma 90.00
loop_
_atom_site_label
_atom_site_type_symbol
_atom_site_fract_x
_atom_site_fract_y
_atom_site_fract_z
Sr1 Sr 0.000 0.000 0.000
Sr2 Sr 0.000 0.500 0.250
Ca1 Ca 0.000 0.000 0.500
Ag1 Ag 0.000 0.500 0.750

---

# Sr6CaAg2 PBE optimized geometry
# - total magnetic moment (μB/f.u.) = 0.00
# - calculated density (g/cm3) = 3.380
# - formation energy from the elements (eV/f.u.) = -1.256
data_Sr6CaAg2
_symmetry_space_group_name_H-M 'I m m m'
_symmetry_Int_Tables_number 71
_symmetry_space_group_name_Hall '-I 2 2'
_cell_length_a 11.028
_cell_length_b 11.140
_cell_length_c 12.503
_cell_angle_alpha 90.00
_cell_angle_beta 90.00
_cell_angle_gamma 90.00
loop_
_atom_site_label
_atom_site_type_symbol
_atom_site_fract_x
_atom_site_fract_y
_atom_site_fract_z
Sr1 Sr 0.000 0.202 0.245
Sr2 Sr 0.187 0.500 0.170
Sr3 Sr 0.206 0.315 0.500
Ca1 Ca 0.000 0.000 0.000
Ca2 Ca 0.000 0.000 0.500
Ag1 Ag 0.000 0.308 0.000
Ag2 Ag 0.000 0.500 0.379

---

# Sr2CaAg PBE optimized geometry
# - energy relative to the lowest polymorph listed for this composition (eV per formula unit) = 0.25
# - total magnetic moment (μB/f.u.) = 0.00
# - calculated density (g/cm3) = 3.421
# - formation energy from the elements (eV/f.u.) = -0.439
data_Sr2CaAg
_symmetry_space_group_name_H-M 'C 1 m 1'
_symmetry_Int_Tables_number 8
_cell_length_a 14.247
_cell_length_b 3.983
_cell_length_c 6.111
_cell_angle_alpha 90.00
_cell_angle_beta 115.25
_cell_angle_gamma 90.00
loop_
_symmetry_equiv_pos_as_xyz
'x,y,z'
'x,-y,z'
'x+1/2,y+1/2,z'
'x+1/2,-y+1/2,z'
loop_
_atom_site_label
_atom_site_type_symbol
_atom_site_fract_x
_atom_site_fract_y
_atom_site_fract_z
Sr1 Sr 0.000 0.000 0.000
Sr2 Sr 0.196 0.000 0.696
Ca1 Ca 0.389 0.000 0.390
Ag1 Ag 0.204 0.500 0.202

---

# SrCa2Ag PBE optimized geometry
# - energy relative to the lowest polymorph listed for this composition (eV per formula unit) = 0.67
# - total magnetic moment (μB/f.u.) = 0.00
# - calculated density (g/cm3) = 2.922
# - formation energy from the elements (eV/f.u.) = -0.063
data_SrCa2Ag
_symmetry_space_group_name_H-M 'I -4 2 d'
_symmetry_Int_Tables_number 122
_symmetry_space_group_name_Hall 'I -4 2bw'
_cell_length_a 9.572
_cell_length_b 9.572
_cell_length_c 6.839
_cell_angle_alpha 90.00
_cell_angle_beta 90.00
_cell_angle_gamma 90.00
loop_
_atom_site_label
_atom_site_type_symbol
_atom_site_fract_x
_atom_site_fract_y
_atom_site_fract_z
Sr1 Sr 0.000 0.000 0.000
Ca1 Ca 0.168 0.250 0.625
Ag1 Ag 0.000 0.000 0.500

---

# Sr2CaAg PBE optimized geometry
# - energy relative to the lowest polymorph listed for this composition (eV per formula unit) = 0.17
# - total magnetic moment (μB/f.u.) = 0.00
# - calculated density (g/cm3) = 3.425
# - formation energy from the elements (eV/f.u.) = -0.520
data_Sr2CaAg
_symmetry_space_group_name_H-M 'P 4/m m m'
_symmetry_Int_Tables_number 123
_symmetry_space_group_name_Hall '-P 4 2'
_cell_length_a 3.977
_cell_length_b 3.977
_cell_length_c 9.905
_cell_angle_alpha 90.00
_cell_angle_beta 90.00
_cell_angle_gamma 90.00
loop_
_atom_site_label
_atom_site_type_symbol
_atom_site_fract_x
_atom_site_fract_y
_atom_site_fract_z
Sr1 Sr 0.000 0.000 0.194
Ca1 Ca 0.500 0.500 0.500
Ag1 Ag 0.500 0.500 0.000